Record 1
A plane-wave DFT calculation with PBE-GGA was carried out for RbBa2Tl after structural relaxation.

```
data_RbBa2Tl
_chemical_formula_sum 'Rb4 Ba8 Tl4'
_symmetry_space_group_name_H-M 'I -4 2 d'
_symmetry_Int_Tables_number 122
_symmetry_space_group_name_Hall 'I -4 2bw'
_cell_length_a 5.6915
_cell_length_b 5.6915
_cell_length_c 26.3142
_cell_angle_alpha 90.00
_cell_angle_beta 90.00
_cell_angle_gamma 90.00
loop_
_atom_site_label
_atom_site_type_symbol
_atom_site_fract_x
_atom_site_fract_y
_atom_site_fract_z
Rb1 Rb 0.0000 0.0000 0.0000
Ba1 Ba 0.2230 0.2500 0.6250
Tl1 Tl 0.0000 0.0000 0.5000
```

Computed properties:
As for the relative energy among the computed polymorphs: 358 meV/atom.


Record 2
A plane-wave DFT calculation with PBE-GGA was carried out for SrNb2F after structural relaxation.

```
data_SrNb2F
_chemical_formula_sum 'Sr4 Nb8 F4'
_symmetry_space_group_name_H-M 'F m -3 m'
_symmetry_Int_Tables_number 225
_symmetry_space_group_name_Hall '-F 4 2 3'
_cell_length_a 6.8613
_cell_length_b 6.8613
_cell_length_c 6.8613
_cell_angle_alpha 90.00
_cell_angle_beta 90.00
_cell_angle_gamma 90.00
loop_
_atom_site_label
_atom_site_type_symbol
_atom_site_fract_x
_atom_site_fract_y
_atom_site_fract_z
Sr1 Sr 0.0000 0.0000 0.0000
Nb1 Nb 0.2500 0.2500 0.2500
F1 F 0.0000 0.0000 0.5000
```

Computed properties:
As for the relative energy among the computed polymorphs: 935 meV/atom. The uncorrected formation energy is 1.188 eV per atom.


Record 3
A plane-wave DFT calculation with PBE-GGA was carried out for La2AsPt after structural relaxation.

```
data_La2AsPt
_chemical_formula_sum 'La4 As2 Pt2'
_symmetry_space_group_name_H-M 'I m m m'
_symmetry_Int_Tables_number 71
_symmetry_space_group_name_Hall '-I 2 2'
_cell_length_a 4.7918
_cell_length_b 5.7856
_cell_length_c 7.4551
_cell_angle_alpha 90.00
_cell_angle_beta 90.00
_cell_angle_gamma 90.00
loop_
_atom_site_label
_atom_site_type_symbol
_atom_site_fract_x
_atom_site_fract_y
_atom_site_fract_z
La1 La 0.0000 0.0000 0.2438
As1 As 0.0000 0.5000 0.0000
Pt1 Pt 0.0000 0.5000 0.5000
```

Computed properties:
Its total energy is -6.245 eV per atom.


Record 4
A plane-wave DFT calculation with PBE-GGA was carried out for LaZrRu2 after structural relaxation.

```
data_LaZrRu2
_chemical_formula_sum 'La4 Zr4 Ru8'
_symmetry_space_group_name_H-M 'F -4 3 m'
_symmetry_Int_Tables_number 216
_symmetry_space_group_name_Hall 'F -4 2 3'
_cell_length_a 6.7001
_cell_length_b 6.7001
_cell_length_c 6.7001
_cell_angle_alpha 90.00
_cell_angle_beta 90.00
_cell_angle_gamma 90.00
loop_
_atom_site_label
_atom_site_type_symbol
_atom_site_fract_x
_atom_site_fract_y
_atom_site_fract_z
La1 La 0.0000 0.0000 0.0000
Zr1 Zr 0.2500 0.2500 0.2500
Ru1 Ru 0.0000 0.0000 0.5000
Ru2 Ru 0.2500 0.2500 0.7500
```

Computed properties:
Its total energy is -7.890 eV per atom.


Record 5
A plane-wave DFT calculation with PBE-GGA was carried out for DyScU2S4 after structural relaxation.

```
data_DyScU2S4
_chemical_formula_sum 'Dy1 Sc1 U2 S4'
_symmetry_space_group_name_H-M 'P 1 2/m 1'
_symmetry_Int_Tables_number 10
_symmetry_space_group_name_Hall '-P 2y'
_cell_length_a 6.5353
_cell_length_b 3.7627
_cell_length_c 6.8465
_cell_angle_alpha 90.00
_cell_angle_beta 108.45
_cell_angle_gamma 90.00
loop_
_atom_site_label
_atom_site_type_symbol
_atom_site_fract_x
_atom_site_fract_y
_atom_site_fract_z
Dy1 Dy 0.0000 0.0000 0.0000
Sc1 Sc 0.5000 0.5000 0.0000
U1 U 0.0000 0.5000 0.5000
U2 U 0.5000 0.0000 0.5000
S1 S 0.2552 0.5000 0.2418
S2 S 0.2623 0.0000 0.7635
```

Computed properties:
The uncorrected formation energy is -1.631 eV per atom.


Record 6
A plane-wave DFT calculation with PBE-GGA was carried out for MgPtAu after structural relaxation.

```
data_MgPtAu
_chemical_formula_sum 'Mg2 Pt2 Au2'
_symmetry_space_group_name_H-M 'P 1 21/m 1'
_symmetry_Int_Tables_number 11
_symmetry_space_group_name_Hall '-P 2yb'
_cell_length_a 3.9850
_cell_length_b 4.1277
_cell_length_c 6.4809
_cell_angle_alpha 90.00
_cell_angle_beta 107.78
_cell_angle_gamma 90.00
loop_
_atom_site_label
_atom_site_type_symbol
_atom_site_fract_x
_atom_site_fract_y
_atom_site_fract_z
Mg1 Mg 0.1014 0.2500 0.2019
Pt1 Pt 0.2505 0.7500 0.5008
Au1 Au 0.4175 0.2500 0.8375
```

Computed properties:
As for the relative energy among the computed polymorphs: 0 meV/atom.